First-principles (PBE-GGA) data for NaReTeAuSe2 after structural relaxation, as listed in the Open Quantum Materials Database.

a b c (Å): 7.950 7.950 10.585
angles (deg): 90.00 90.00 153.37
Element x y z (fractional)
Na1 0.280 0.720 0.750
Na2 0.720 0.280 0.250
Se1 0.383 0.617 0.018
Se2 0.383 0.617 0.482
Se3 0.617 0.383 0.518
Se4 0.617 0.383 0.982
Au1 0.370 0.630 0.250
Au2 0.630 0.370 0.750
Te1 0.949 0.051 0.750
Te2 0.051 0.949 0.250
Re1 0.000 0.000 0.000
Re2 0.000 0.000 0.500

Values from the calculation:
space group = Cmcm, No. 63
E_tot = -4.6158 eV/atom